NiSN2O after structural relaxation. Source: the Alexandria database, functional PBE with a Hubbard U.

Cell and atoms, written as CIF:
```
data_NiSN2O
_chemical_formula_sum 'Ni1 S1 N2 O1'
_symmetry_space_group_name_H-M 'P 4/m m m'
_symmetry_Int_Tables_number 123
_symmetry_space_group_name_Hall '-P 4 2'
_cell_length_a 3.782
_cell_length_b 3.782
_cell_length_c 3.829
_cell_angle_alpha 90.00
_cell_angle_beta 90.00
_cell_angle_gamma 90.00
loop_
_atom_site_label
_atom_site_fract_x
_atom_site_fract_y
_atom_site_fract_z
Ni1 0.000 0.000 0.000
S1 0.500 0.500 0.000
N1 0.000 0.500 0.500
O1 0.500 0.500 0.500
```

Properties
N(E_F) ... 1.05 states/eV per cell
Total energy ... -3.421 eV per atom